[1]
TbSm2DyEr2: optimized geometry, PBE.

Geometry as POSCAR:
```
TbSm2DyEr2
1.0
-0.480 -0.695 -3.274
-2.064 -5.993 1.575
-16.787 6.088 1.171
Er Tb Dy Sm
4 2 2 4
direct
0.500 0.224 0.646
0.500 0.776 0.354
0.000 0.276 0.146
0.000 0.724 0.854
0.000 0.000 0.000
0.500 0.500 0.500
0.000 0.000 0.500
0.500 0.500 0.000
0.000 0.774 0.186
0.500 0.274 0.314
0.000 0.226 0.814
0.500 0.726 0.686
```

Properties
total DFT energy (no corrections)	-52.3	eV for the cell shown
SG	No. 58
crystal system	orthorhombic
formation energy	0.272	eV per atom
total moment	0.00	μB per formula unit

[2]
Tb3Sm2DyEr6: optimized geometry, PBE.

Geometry as POSCAR:
```
Tb3Sm2DyEr6
1.0
6.136 0.001 0.006
-3.065 5.316 0.006
-1.030 -1.783 11.522
Tb Dy Er Sm
3 1 6 2
direct
0.500 0.500 0.500
0.833 0.167 0.500
0.167 0.833 0.500
0.000 0.000 0.000
0.583 0.916 0.749
0.084 0.417 0.251
0.249 0.249 0.749
0.417 0.084 0.251
0.751 0.751 0.251
0.916 0.583 0.749
0.333 0.667 0.000
0.667 0.333 0.000
```

Properties
total DFT energy (no corrections)	-55.1	eV for the cell shown
SG	No. 12
crystal system	monoclinic
formation energy	0.018	eV per atom
total moment	0.00	μB per formula unit

[3]
Tb4Sm2DyEr: optimized geometry, PBE.

Geometry as POSCAR:
```
Tb4Sm2DyEr
1.0
-0.530 -0.568 4.989
4.483 -2.292 0.215
8.971 6.612 1.705
Sm Dy Tb Er
2 1 4 1
direct
0.500 0.000 0.500
0.000 0.000 0.000
0.500 0.500 0.000
0.500 0.750 0.250
0.500 0.250 0.750
0.000 0.249 0.251
0.000 0.751 0.749
0.000 0.500 0.500
```

Properties
total DFT energy (no corrections)	-37.0	eV for the cell shown
SG	No. 123
crystal system	tetragonal
formation energy	0.016	eV per atom
total moment	0.00	μB per formula unit

[4]
Tb2Sm4DyEr: optimized geometry, PBE.

Geometry as POSCAR:
```
Tb2Sm4DyEr
1.0
-0.070 -5.050 -0.540
1.752 -0.529 4.726
-7.730 -0.771 8.221
Sm Tb Er Dy
4 2 1 1
direct
0.000 0.249 0.251
0.000 0.751 0.749
0.500 0.750 0.250
0.500 0.250 0.750
0.500 0.000 0.500
0.000 0.000 0.000
0.000 0.500 0.500
0.500 0.500 0.000
```

Properties
total DFT energy (no corrections)	-37.2	eV for the cell shown
SG	No. 10
crystal system	monoclinic
formation energy	0.015	eV per atom
total moment	0.00	μB per formula unit

[5]
Tb6SmDy2Er3: optimized geometry, PBE.

Geometry as POSCAR:
```
Tb6SmDy2Er3
1.0
-1.313 0.839 -5.943
1.617 -5.570 2.028
-11.215 -0.889 3.408
Er Tb Sm Dy
3 6 1 2
direct
0.167 0.833 0.500
0.500 0.500 0.500
0.833 0.167 0.500
0.915 0.582 0.748
0.249 0.249 0.748
0.085 0.418 0.252
0.751 0.751 0.252
0.582 0.915 0.748
0.418 0.085 0.252
0.000 0.000 0.000
0.333 0.667 0.000
0.667 0.333 0.000
```

Properties
total DFT energy (no corrections)	-55.2	eV for the cell shown
SG	No. 12
crystal system	monoclinic
formation energy	0.018	eV per atom
total moment	0.01	μB per formula unit

[6]
TbSm4DyEr2: optimized geometry, PBE.

Geometry as POSCAR:
```
TbSm4DyEr2
1.0
-0.100 -0.339 -3.567
3.867 -4.829 0.350
-7.785 -8.840 1.057
Sm Er Tb Dy
4 2 1 1
direct
0.000 0.751 0.749
0.500 0.250 0.750
0.000 0.249 0.251
0.500 0.750 0.250
0.500 0.000 0.500
0.000 0.000 0.000
0.500 0.500 0.000
0.000 0.500 0.500
```

Properties
total DFT energy (no corrections)	-37.1	eV for the cell shown
SG	No. 10
crystal system	monoclinic
formation energy	0.017	eV per atom
total moment	0.00	μB per formula unit

[7]
Tb2SmDyEr2: optimized geometry, PBE.

Geometry as POSCAR:
```
Tb2SmDyEr2
1.0
3.383 0.000 0.000
0.000 6.514 0.000
0.000 0.000 17.760
Er Sm Tb Dy
4 2 4 2
direct
0.500 0.777 0.353
0.000 0.277 0.147
0.500 0.223 0.647
0.000 0.723 0.853
0.000 0.000 0.000
0.500 0.500 0.500
0.500 0.275 0.314
0.000 0.225 0.814
0.500 0.725 0.686
0.000 0.775 0.186
0.000 0.000 0.500
0.500 0.500 0.000
```

Properties
total DFT energy (no corrections)	-52.1	eV for the cell shown
SG	No. 58
crystal system	orthorhombic
formation energy	0.278	eV per atom
total moment	0.00	μB per formula unit

[8]
TbSm2Dy6Er: optimized geometry, PBE.

Geometry as POSCAR:
```
TbSm2Dy6Er
1.0
-2.625 -7.354 5.635
8.297 -2.705 -0.802
-1.784 6.119 6.015
Dy Sm Er Tb
12 4 2 2
direct
0.880 0.292 0.504
0.620 0.496 0.708
0.443 0.253 0.875
0.120 0.708 0.496
0.814 0.427 0.980
0.057 0.125 0.747
0.186 0.573 0.020
0.314 0.980 0.427
0.380 0.504 0.292
0.943 0.875 0.253
0.686 0.020 0.573
0.557 0.747 0.125
0.043 0.299 0.196
0.543 0.196 0.299
0.457 0.804 0.701
0.957 0.701 0.804
0.750 0.592 0.408
0.250 0.408 0.592
0.750 0.020 0.980
0.250 0.980 0.020
```

Properties
total DFT energy (no corrections)	-90.2	eV for the cell shown
SG	No. 15
crystal system	monoclinic
formation energy	0.117	eV per atom
total moment	0.00	μB per formula unit

[9]
Tb2SmDy4Er: optimized geometry, PBE.

Geometry as POSCAR:
```
Tb2SmDy4Er
1.0
-0.776 -4.172 -2.681
4.673 -1.517 1.008
1.371 -6.207 9.264
Dy Sm Er Tb
4 1 1 2
direct
0.000 0.752 0.748
0.500 0.252 0.748
0.000 0.248 0.252
0.500 0.748 0.252
0.500 0.500 0.000
0.000 0.500 0.500
0.500 0.000 0.500
0.000 0.000 0.000
```

Properties
total DFT energy (no corrections)	-36.8	eV for the cell shown
SG	No. 123
crystal system	tetragonal
formation energy	0.017	eV per atom
total moment	0.00	μB per formula unit

[10]
Tb3SmDy6Er2: optimized geometry, PBE.

Geometry as POSCAR:
```
Tb3SmDy6Er2
1.0
-3.390 4.963 1.251
-1.195 -3.345 -5.006
-5.808 -7.084 7.367
Dy Er Tb Sm
6 2 3 1
direct
0.750 0.750 0.250
0.582 0.916 0.750
0.916 0.582 0.750
0.084 0.418 0.250
0.418 0.084 0.250
0.250 0.250 0.750
0.667 0.333 0.000
0.333 0.667 0.000
0.167 0.833 0.500
0.833 0.167 0.500
0.500 0.500 0.500
0.000 0.000 0.000
```

Properties
total DFT energy (no corrections)	-55.2	eV for the cell shown
SG	No. 12
crystal system	monoclinic
formation energy	0.016	eV per atom
total moment	0.00	μB per formula unit

[11]
Tb4Sm2Dy2Er: optimized geometry, PBE.

Geometry as POSCAR:
```
Tb4Sm2Dy2Er
1.0
3.596 0.000 0.000
-1.798 9.326 -0.477
0.000 -3.705 8.821
Dy Sm Tb Er
2 2 4 1
direct
0.666 0.332 0.001
0.334 0.668 0.999
0.852 0.704 0.334
0.148 0.296 0.666
0.518 0.037 0.330
0.815 0.631 0.668
0.482 0.963 0.670
0.185 0.369 0.332
0.000 0.000 0.000
```

Properties
total DFT energy (no corrections)	-41.7	eV for the cell shown
SG	No. 12
crystal system	monoclinic
formation energy	0.008	eV per atom
total moment	0.00	μB per formula unit

[12]
TbSm6Dy2Er3: optimized geometry, PBE.

Geometry as POSCAR:
```
TbSm6Dy2Er3
1.0
6.205 0.000 0.010
-3.101 5.375 0.010
-1.050 -1.817 11.602
Tb Er Sm Dy
1 3 6 2
direct
0.000 0.000 0.000
0.500 0.500 0.500
0.167 0.833 0.500
0.833 0.167 0.500
0.751 0.751 0.251
0.916 0.582 0.749
0.084 0.418 0.251
0.418 0.084 0.251
0.249 0.249 0.749
0.582 0.916 0.749
0.667 0.333 0.000
0.333 0.667 0.000
```

Properties
total DFT energy (no corrections)	-55.7	eV for the cell shown
SG	No. 12
crystal system	monoclinic
formation energy	0.014	eV per atom
total moment	0.00	μB per formula unit

What is the formation energy in the third record?
0.016 eV per atom